Density functional theory data (GGA-PBE) for an optimized crystal structure of Mn5Ni.

Cell and atoms, written as POSCAR:
```
Mn5Ni
1.0
2.558 0.000 0.000
0.000 2.558 0.000
0.000 0.000 10.530
Mn Ni
5 1
direct
0.000 0.000 0.000 Mn
0.000 0.000 0.331 Mn
0.000 0.000 0.669 Mn
0.500 0.500 0.164 Mn
0.500 0.500 0.836 Mn
0.500 0.500 0.500 Ni
```

Volume in Å³ per atom: 11.48
Energy relative to the lowest polymorph listed for this composition in meV per atom: 6.9
N(E_F) in states/eV/atom: 1.470